The following is a DFT calculation (PBE) of a relaxed NaCd2GaO4 crystal.

The structure belongs to space group I-42m (No. 121); the cell edges are 5.228, 5.228 and 8.938 Å and the angles 90.00°, 90.00° and 90.00°. The asymmetric unit holds Na at (0.000, 0.000, 0.000), Cd at (0.000, 0.500, 0.250), Ga at (0.000, 0.000, 0.500) and O at (0.213, 0.213, 0.615).

Its total magnetization is 0.00 Bohr magnetons per cell. The raw total energy comes out at -74.872 eV per cell. The uncorrected formation energy is -137.8 kJ/mol of atoms.



The following is a DFT calculation (PBE) of a relaxed NaCdGa2Os crystal.

The structure belongs to space group P4/mmm (No. 123); the cell edges are 4.821, 4.821 and 5.283 Å and the angles 90.00°, 90.00° and 90.00°. The asymmetric unit holds Na at (0.000, 0.000, 0.000), Cd at (0.500, 0.500, 0.000), Ga at (0.000, 0.500, 0.500) and Os at (0.500, 0.500, 0.500).

Its formation energy is -1 meV/atom. Its total magnetization is 0.00 Bohr magnetons per cell. The raw total energy comes out at -19.521 eV per cell.



The following is a DFT calculation (PBE) of a relaxed NaCd2GaPd crystal.

The structure belongs to space group P4/mmm (No. 123); the cell edges are 5.259, 5.259 and 4.779 Å and the angles 90.00°, 90.00° and 90.00°. The asymmetric unit holds Na at (0.000, 0.000, 0.000), Cd at (0.000, 0.500, 0.500), Ga at (0.500, 0.500, 0.000) and Pd at (0.500, 0.500, 0.500).

Its formation energy is -151 meV/atom. Its total magnetization is 0.00 Bohr magnetons per cell. The raw total energy comes out at -12.122 eV per cell.